Entry 1:
AcSmYZn after structural relaxation, computed with PBE.

Computed properties:
Raw total energy, eV/atom: -3.974
Formation enthalpy at 0 K, eV/f.u.: 0.7
Size of the total moment, μB/atom: 0.00

abc: 5.5718 5.5718 5.5718
angles: 60.00 60.00 60.00
With the nearest neighbours (Å) after each atom.
Atoms (fractional coordinates):
Y  0.5000  0.5000  0.5000  4 Zn 3.41, 4 Ac 3.41
Ac  0.2500  0.2500  0.2500  4 Y 3.41, 4 Sm 3.41
Zn  0.7500  0.7500  0.7500  4 Sm 3.41, 4 Y 3.41
Sm  0.0000  0.0000  0.0000  4 Ac 3.41, 4 Zn 3.41


Entry 2:
Er2FeAs after structural relaxation, computed with PBE.

Computed properties:
Raw total energy, eV/atom: -5.450
Formation enthalpy at 0 K, eV/f.u.: 0.4
Size of the total moment, μB/atom: 0.53

abc: 3.7275 3.7275 9.0113
angles: 78.06 78.06 60.00
With the nearest neighbours (Å) after each atom.
Atoms (fractional coordinates):
Fe  0.0000  0.0000  0.0000  2 Er 2.63
As  0.5000  0.5000  0.5000  6 Er 2.77
Er  0.1001  0.1001  0.6996  1 Fe 2.63, 3 As 2.77
Er  0.8999  0.8999  0.3004  1 Fe 2.63, 3 As 2.77


Entry 3:
AlFeSi2 after structural relaxation, computed with PBE.

Computed properties:
Raw total energy, eV/atom: -6.085
Energy relative to the elements, uncorrected, eV per atom: -0.322
Size of the total moment, μB/atom: 0.00

abc: 3.4834 4.5584 7.1484
angles: 90.00 90.00 112.49
With the nearest neighbours (Å) after each atom.
Atoms (fractional coordinates):
Fe  0.2195  0.4389  0.2500  6 Si 2.37-2.39, 3 Al 2.38-2.53
Si  0.6444  0.2891  0.0427  3 Fe 2.37-2.39, 3 Si 2.51-2.56
Al  0.9376  0.8737  0.2500  3 Fe 2.38-2.53
Al  0.0624  0.1263  0.7500  3 Fe 2.38-2.53
Si  0.6444  0.2891  0.4573  3 Fe 2.37-2.39, 3 Si 2.51-2.56
Fe  0.7805  0.5611  0.7500  6 Si 2.37-2.39, 3 Al 2.38-2.53
Si  0.3556  0.7109  0.9573  3 Fe 2.37-2.39, 3 Si 2.51-2.56
Si  0.3556  0.7109  0.5427  3 Fe 2.37-2.39, 3 Si 2.51-2.56


Entry 4:
NdSnBi2 after structural relaxation, computed with PBE.

Computed properties:
Raw total energy, eV/atom: -4.590
Formation enthalpy at 0 K, eV/f.u.: -1.8
Size of the total moment, μB/atom: 0.00

abc: 6.9936 6.8357 6.8357
angles: 71.34 59.23 59.23
With the nearest neighbours (Å) after each atom.
Atoms (fractional coordinates):
Bi  0.7147  0.2853  0.7853  4 Sn 3.36-3.51, 4 Nd 3.41-3.50, 3 Bi 3.50-3.70
Sn  0.2500  0.7744  0.7256  8 Bi 3.36-3.51, 3 Nd 3.38-3.50
Nd  0.7500  0.8016  0.6984  3 Sn 3.38-3.50, 8 Bi 3.41-3.50
Bi  0.7853  0.7147  0.2147  4 Sn 3.36-3.51, 4 Nd 3.41-3.50, 3 Bi 3.50-3.70
Nd  0.2500  0.1984  0.3016  3 Sn 3.38-3.50, 8 Bi 3.41-3.50
Sn  0.7500  0.2256  0.2744  8 Bi 3.36-3.51, 3 Nd 3.38-3.50
Bi  0.2147  0.2853  0.7853  4 Sn 3.36-3.51, 4 Nd 3.41-3.50, 3 Bi 3.50-3.70
Bi  0.2853  0.7147  0.2147  4 Sn 3.36-3.51, 4 Nd 3.41-3.50, 3 Bi 3.50-3.70